Record 1
VASP calculation (GGA-PBE) on MnAs2RuBr after structural relaxation.

a b c (Å): 4.712 4.712 5.400
angles (deg): 90.00 90.00 90.00
Space group P4/mmm (No. 123)
One atom of each set of equivalent atoms:
Mn: 0.000 0.000 0.000 (multiplicity 1)
As: 0.000 0.500 0.500 (multiplicity 2)
Ru: 0.500 0.500 0.500 (multiplicity 1)
Br: 0.500 0.500 0.000 (multiplicity 1)

## Properties
Formation energy without anion corrections ... 597 meV per atom
Density ... 5.3 g/cm³
M_tot ... 4.7 Bohr magnetons per cell
Total DFT energy (no corrections) ... -5.29 eV per atom

***

Record 2
VASP calculation (GGA-PBE) on TmVSi after structural relaxation.

a b c (Å): 4.2679 4.2679 3.7111
angles (deg): 90.00 90.00 120.00
Space group P-6m2 (No. 187)
One atom of each set of equivalent atoms:
Tm: 0.0000 0.0000 0.0000 (multiplicity 1)
V: 0.3333 0.6667 0.5000 (multiplicity 1)
Si: 0.6667 0.3333 0.5000 (multiplicity 1)

## Properties
Formation energy without anion corrections ... -228 meV per atom
Density ... 7.0 g/cm³
M_tot ... 2.1 Bohr magnetons per cell
Total DFT energy (no corrections) ... -6.57 eV per atom

***

Record 3
VASP calculation (GGA-PBE) on CrNi5Pd2 after structural relaxation.

a b c (Å): 3.699 3.699 14.246
angles (deg): 90.00 90.00 90.00
Space group I4/mmm (No. 139)
One atom of each set of equivalent atoms:
Cr: 0.000 0.000 0.000 (multiplicity 2)
Ni: 0.000 0.000 0.500 (multiplicity 2)
Ni: 0.000 0.500 0.115 (multiplicity 8)
Pd: 0.000 0.000 0.251 (multiplicity 4)

## Properties
Density ... 9.5 g/cm³
M_tot ... 2.6 Bohr magnetons per cell
Total DFT energy (no corrections) ... -6.09 eV per atom

***

Record 4
VASP calculation (GGA-PBE) on SiPdSN2 after structural relaxation.

a b c (Å): 3.392 3.392 7.078
angles (deg): 90.00 90.00 90.00
Space group P4/mmm (No. 123)
One atom of each set of equivalent atoms:
Si: 0.000 0.000 0.000 (multiplicity 1)
Pd: 0.500 0.500 0.500 (multiplicity 1)
S: 0.000 0.000 0.500 (multiplicity 1)
N: 0.000 0.500 0.000 (multiplicity 2)

## Properties
Formation energy without anion corrections ... 494 meV per atom
Density ... 4.0 g/cm³
M_tot ... 0.0 Bohr magnetons per cell
Total DFT energy (no corrections) ... -5.79 eV per atom

***

Record 5
VASP calculation (GGA-PBE) on IrPd after structural relaxation.

a b c (Å): 4.398 8.071 14.554
angles (deg): 90.00 90.00 90.00
Space group Fddd (No. 70, origin choice 2)
One atom of each set of equivalent atoms:
Ir: 0.125 0.125 0.038 (multiplicity 16)
Pd: 0.125 0.285 0.625 (multiplicity 16)

## Properties
Density ... 15.4 g/cm³
M_tot ... 0.0 Bohr magnetons per cell
Total DFT energy (no corrections) ... -6.61 eV per atom

***

Record 6
VASP calculation (GGA-PBE) on Tl6BiF12 after structural relaxation.

a b c (Å): 11.3005 11.3005 10.5874
angles (deg): 90.00 90.00 120.00
Space group R-3 (No. 148, hexagonal axes)
One atom of each set of equivalent atoms:
Tl: 0.0363 0.2491 0.1459 (multiplicity 18)
Bi: 0.0000 0.0000 0.5000 (multiplicity 3)
F: 0.0227 0.1808 0.3832 (multiplicity 18)
F: 0.0304 0.2166 0.8947 (multiplicity 18)

## Properties
Formation energy without anion corrections ... -1845 meV per atom
Density ... 7.1 g/cm³
M_tot ... 0.0 Bohr magnetons per cell
Total DFT energy (no corrections) ... -3.98 eV per atom

***

Record 7
VASP calculation (GGA-PBE) on NbSnAu2 after structural relaxation.

a b c (Å): 4.154 4.154 4.402
angles (deg): 90.00 90.00 90.00
Space group P4/mmm (No. 123)
One atom of each set of equivalent atoms:
Nb: 0.000 0.000 0.000 (multiplicity 1)
Sn: 0.500 0.500 0.000 (multiplicity 1)
Au: 0.000 0.500 0.500 (multiplicity 2)

## Properties
Density ... 13.2 g/cm³
M_tot ... 0.0 Bohr magnetons per cell
Total DFT energy (no corrections) ... -5.23 eV per atom

***

Record 8
VASP calculation (GGA-PBE) on SrPd6Pb12 after structural relaxation.

a b c (Å): 13.4705 13.4705 9.7167
angles (deg): 90.00 90.00 120.00
Space group R-3m (No. 166, hexagonal axes)
One atom of each set of equivalent atoms:
Sr: 0.0000 0.0000 0.0000 (multiplicity 3)
Pd: 0.0475 0.5238 0.2469 (multiplicity 18)
Pb: 0.0000 0.3774 0.5000 (multiplicity 18)
Pb: 0.0863 0.1725 0.3247 (multiplicity 18)

## Properties
Density ... 10.5 g/cm³
M_tot ... 0.0 Bohr magnetons per cell
Total DFT energy (no corrections) ... -4.24 eV per atom